Compound: ZrZn
Source: Alexandria
Functional: PBE-GGA
Structure: optimized geometry

## Properties
Theoretical density, g cm⁻³: 6.81
Calculated volume, Å³/atom: 19.11
Energy relative to the elements, eV/atom: -0.101
E, eV per formula unit: -10.0

Cell: 18.351 3.340 5.052 Å, 90.00 99.13 90.00°
Space group C2/m (No. 12)
One atom of each set of equivalent atoms:
Zr: 0.000 0.000 0.000
Zr: 0.000 0.500 0.500
Zr: 0.144 0.000 0.583
Zn: 0.126 0.500 0.066
Zn: 0.236 0.000 0.183